PrCdPd | Alexandria | PBE | optimized geometry; DFT total energy = -4.164 eV per atom; crystal system = hexagonal; DOS(E_F) = 2.72 states/eV/f.u.; space-group type = P-6m2 (187); volume = 72.6 Å³/cell
1.0
3.6705 0.0000 0.0000
0.0000 4.7776 0.0000
0.0000 -2.3888 4.1375
Cd Pr Pd
1 1 1
Cartesian
0.6111 0.0000 0.0000
2.4465 2.3888 1.3792
0.6128 0.0000 2.7583